Here is an optimized crystal structure of In5Sn12Bi3 from Alexandria. Energies are from PBE.

Summary:
DOS(E_F): 0.575 states/eV/atom
Energy: -274.9 eV for the cell shown
Symmetry: No. 230

Structure (extended XYZ):
```
80
Lattice="15.6198 0.0000 0.0000 -5.2066 14.7265 0.0000 -5.2066 -7.3632 12.7535" Properties=species:S:1:pos:R:3 pbc="T T T"
Bi 9.1115 4.6020 1.5942
Bi 9.1115 10.1244 1.5942
Bi -1.3016 6.4428 7.9709
Bi 1.3016 -0.9204 4.7826
Bi 11.7148 0.0000 3.1884
Bi 1.3016 7.3632 3.1884
Bi 3.9049 0.0000 9.5651
Bi -6.5082 7.3632 9.5651
Bi 3.9049 8.2836 7.9709
Bi 6.5082 0.9204 4.7826
Bi -3.9049 -2.7612 11.1593
Bi -3.9049 2.7612 11.1593
In -1.3016 3.6816 3.1884
In -2.6033 7.3632 0.0000
In 0.0000 0.0000 0.0000
In 3.9049 2.7612 1.5942
In 5.2066 -3.6816 6.3767
In 5.2066 7.3632 0.0000
In -3.9049 8.2836 4.7826
In 6.5082 -4.6020 11.1593
In 6.5082 6.4428 4.7826
In 1.3016 -3.6816 9.5651
In 3.9049 11.0448 3.1884
In 2.6033 3.6816 6.3767
In 7.8099 0.0000 0.0000
In -2.6033 -3.6816 6.3767
In -1.3016 0.9204 7.9709
In -1.3016 11.9652 1.5942
In -5.2066 3.6816 6.3767
In 9.1115 -0.9204 7.9709
In 1.3016 4.6020 11.1593
In 6.5082 3.6816 9.5651
Sn 10.1697 1.6324 0.8975
Sn 0.2434 5.2750 5.4118
Sn 11.2365 3.1747 3.5300
Sn 6.9865 2.2119 1.8624
Sn 1.8509 5.8433 8.3261
Sn 10.7276 7.3520 1.9493
Sn -0.8234 8.3260 5.3924
Sn -4.3832 12.5145 1.8624
Sn 0.7524 8.8831 8.3261
Sn 7.4955 7.3744 1.9493
Sn 8.0533 3.7206 4.5144
Sn 8.0533 13.0941 0.8975
Sn -4.4542 6.4506 7.2742
Sn 2.9177 5.6807 0.9844
Sn -5.4500 11.0059 4.5144
Sn 2.8467 -2.0882 7.3417
Sn -0.7524 0.6073 2.8468
Sn 2.9177 9.0570 0.9649
Sn 6.9865 11.5518 3.5300
Sn -0.3144 5.6695 0.9649
Sn -3.3557 7.9705 9.9067
Sn 3.4266 6.4004 5.3924
Sn 7.0575 8.2758 7.2742
Sn 5.5210 -1.6825 11.7691
Sn 1.7800 0.9628 7.3611
Sn -1.8509 -0.9126 5.4793
Sn -0.3144 9.0458 0.9844
Sn -1.7799 -4.1885 9.2235
Sn 8.5623 -0.6073 2.8468
Sn 5.5210 1.6938 11.7886
Sn 2.2889 -1.6938 11.7886
Sn 2.3599 9.4514 5.4118
Sn 5.9590 6.7559 9.9067
Sn 10.6566 -3.6427 8.2391
Sn 9.6608 0.9126 5.4793
Sn -2.8467 -5.7309 11.8560
Sn 2.2889 1.6825 11.7691
Sn 4.4542 -1.5199 4.4274
Sn -2.2889 -0.0112 10.8042
Sn -2.8467 3.6427 8.2391
Sn 9.5898 -5.1513 10.8911
Sn 6.0299 -0.9628 7.3611
Sn -1.7800 5.1513 10.8911
Sn -5.5210 0.0112 10.8042
Sn 3.3557 1.5199 4.4274
Sn -6.0299 4.1885 9.2235
Sn 4.9632 2.0882 7.3417
Sn -4.9632 5.7309 11.8560
```

***

Here is an optimized crystal structure of In4Sn4Bi from Alexandria. Energies are from PBE.

Summary:
DOS(E_F): 0.555 states/eV/atom
Energy: -30.4 eV for the cell shown
Symmetry: No. 139

Structure (extended XYZ):
```
9
Lattice="-1.9023 -3.2527 3.2048 4.8848 -5.7238 0.9077 2.1603 1.8874 7.0155" Properties=species:S:1:pos:R:3 pbc="T T T"
In 2.0653 -6.4141 6.1689
In 3.0775 -0.6751 4.9592
In 1.1101 -3.4493 4.7933
In 4.0327 -3.6398 6.3347
Sn 1.0112 -3.0041 1.3688
Sn 4.1316 -4.0850 9.7592
Sn 0.1630 -0.9205 6.7978
Sn 4.9798 -6.1686 4.3302
Bi 0.0000 0.0000 0.0000
```

***

Here is an optimized crystal structure of InSnBi2 from Alexandria. Energies are from PBE.

Summary:
DOS(E_F): 0.526 states/eV/atom
Energy: -14.1 eV for the cell shown
Symmetry: No. 38

Structure (extended XYZ):
```
4
Lattice="5.1617 -5.4722 -0.1998 6.9980 -2.1582 -1.7313 1.2964 1.0811 3.8939" Properties=species:S:1:pos:R:3 pbc="T T T"
In 12.7582 -7.1310 -0.1325
Sn 11.4214 -5.3451 2.1291
Bi 8.6034 -3.5765 2.5771
Bi 3.5111 -1.3286 1.3351
```

***

Here is an optimized crystal structure of In8Sn2Bi3 from Alexandria. Energies are from PBE.

Summary:
DOS(E_F): 0.503 states/eV/atom
Energy: -40.5 eV for the cell shown
Symmetry: No. 65

Structure (extended XYZ):
```
13
Lattice="-2.2568 0.5781 -5.0269 8.1678 1.5253 -3.4915 -3.1671 -8.7049 0.4208" Properties=species:S:1:pos:R:3 pbc="T T T"
In 0.5783 -5.0107 -0.8360
In 2.1655 -1.5909 -7.2616
In 2.5397 -4.8326 -7.8025
In 0.2042 -1.7690 -0.2952
In 4.7371 -0.4774 -5.2349
In 1.5946 -1.0642 -3.8915
In 1.1493 -5.5373 -4.2061
In -1.9933 -6.1242 -2.8627
Sn 3.4817 -3.5070 -5.0196
Sn -0.7379 -3.0946 -3.0780
Bi -1.1284 0.2891 -2.5135
Bi 2.6492 0.4947 -1.1325
Bi 5.5185 1.0305 -2.3590
```

***

Here is an optimized crystal structure of In4SnBi from Alexandria. Energies are from PBE.

Summary:
DOS(E_F): 0.407 states/eV/atom
Energy: -18.0 eV for the cell shown
Excess energy over the best structure of this formula in the dataset: 112 meV/atom
Symmetry: No. 216

Structure (extended XYZ):
```
6
Lattice="-2.1150 -1.2392 -5.7610 -3.9890 -4.7373 -0.9186 -5.9730 1.1759 -1.4621" Properties=species:S:1:pos:R:3 pbc="T T T"
In -4.5592 -3.5902 -4.3580
In -5.5529 -0.6289 -4.6301
In -7.5505 -3.0013 -5.0902
In -6.4913 -2.3808 -2.2051
Bi -3.0192 -1.2001 -2.0354
Sn 0.0000 0.0000 0.0000
```

***

Here is an optimized crystal structure of In3SnBi3 from Alexandria. Energies are from PBE.

Summary:
DOS(E_F): 0.767 states/eV/atom
Energy: -42.0 eV for the cell shown
Symmetry: No. 223

Structure (extended XYZ):
```
14
Lattice="-5.7166 -3.9409 4.6518 -2.1658 -4.6483 -6.5995 5.6991 -5.7195 2.1582" Properties=species:S:1:pos:R:3 pbc="T T T"
In 1.4204 -3.8450 2.2421
In 0.3419 -3.7540 -2.7602
In -4.4826 -5.4567 -2.6237
In -1.4379 -5.8154 4.5680
In 3.1915 -6.6138 -1.6811
In -3.3998 -3.1325 0.6761
Bi 2.3081 -4.0218 -0.5708
Bi 1.2252 -6.3460 -3.8705
Bi 1.4160 -6.2601 3.9446
Bi -5.3704 -5.2799 0.1892
Bi -1.4335 -3.4003 2.8655
Bi -2.5120 -3.3094 -2.1368
Sn -1.0916 -7.1544 0.1053
Sn 0.0000 0.0000 0.0000
```

***

Here is an optimized crystal structure of In6Sn2Bi from Alexandria. Energies are from PBE.

Summary:
DOS(E_F): 0.456 states/eV/atom
Energy: -56.0 eV for the cell shown
Symmetry: No. 15

Structure (extended XYZ):
```
18
Lattice="-3.0415 -4.4604 6.5829 5.8075 -2.2888 5.8312 1.3291 5.6728 6.2075" Properties=species:S:1:pos:R:3 pbc="T T T"
In 2.5389 0.7364 10.3056
In 5.5131 -0.5154 11.1411
In 1.5562 -1.8128 8.3159
In -1.4181 -0.5609 7.4805
In -1.0306 -0.3712 10.9250
In 1.3352 -1.6164 4.8571
In 5.1256 -0.7051 7.6966
In 2.7598 0.5401 13.7644
In 5.0920 2.3820 12.4398
In 4.8980 2.3324 8.8404
In -0.9970 -3.4584 6.1817
In -0.8030 -3.4087 9.7812
Sn 4.0964 -3.0501 9.8024
Sn 1.7063 -1.9438 11.8375
Sn -0.0014 1.9737 8.8192
Sn 2.3887 0.8674 6.7840
Bi 1.7433 -5.1818 10.9194
Bi 2.3517 4.1055 7.7021
```

***

Here is an optimized crystal structure of InSnBi2 from Alexandria. Energies are from PBE.

Summary:
DOS(E_F): 0.320 states/eV/atom
Energy: -14.3 eV for the cell shown
Symmetry: No. 123

Structure (extended XYZ):
```
4
Lattice="4.9884 0.0000 0.0000 0.0000 4.9137 0.0000 0.0000 0.0000 4.9137" Properties=species:S:1:pos:R:3 pbc="T T T"
In 2.4942 2.4569 2.4569
Bi 0.0000 0.0000 2.4569
Bi 0.0000 2.4569 0.0000
Sn 2.4942 0.0000 0.0000
```

***

| no. | total moment (μB/f.u.) | energy of formation from the pure elements (eV per atom) |
| --- | --- | --- |
| 1 | 0.0 | 0.2322 |
| 2 | 0.0 | 0.0463 |
| 3 | 0.0 | 0.1039 |
| 4 | 0.0 | 0.0843 |
| 5 | 0.0 | 0.1441 |
| 6 | 1.8 | 0.4059 |
| 7 | 0.0 | 0.0362 |
| 8 | 0.0 | 0.0617 |